Record 1
VASP calculation (GGA-PBE) on LaCeScPb after structural relaxation.

The structure belongs to space group F-43m (No. 216); the cell edges are 7.680, 7.680 and 7.680 Å and the angles 90.00°, 90.00° and 90.00°. Symmetry generates all atoms from La at (0.000, 0.000, 0.000), Ce at (0.250, 0.250, 0.250), Sc at (0.000, 0.000, 0.500) and Pb at (0.250, 0.250, 0.750).

The formation energy comes out at -64 meV per atom.


Record 2
VASP calculation (GGA-PBE) on AcCdCuO4 after structural relaxation.

The structure belongs to space group Imma (No. 74); the cell edges are 5.913, 7.857 and 10.229 Å and the angles 90.00°, 90.00° and 90.00°. Symmetry generates all atoms from Ac at (0.000, 0.000, 0.000), Cd at (0.000, 0.250, 0.282), Cu at (0.250, 0.250, 0.750), O at (0.000, 0.097, 0.761) and O at (0.220, 0.250, 0.085).

For the uncorrected formation energy, the calculation gives -1.52 eV per atom.


Record 3
VASP calculation (GGA-PBE) on SrEr2P2N6 after structural relaxation.

The structure belongs to space group P-1 (No. 2); the cell edges are 5.371, 5.948 and 6.073 Å and the angles 118.46°, 100.15° and 101.89°. Symmetry generates all atoms from Sr at (0.000, 0.000, 0.000), Er at (0.226, 0.733, 0.436), P at (0.362, 0.456, 0.795), N at (0.216, 0.650, 0.756), N at (0.300, 0.422, 0.048) and N at (0.301, 0.167, 0.519).

For the uncorrected formation energy, the calculation gives -1.09 eV per atom.


Record 4
VASP calculation (GGA-PBE) on Tb2AlGe3Pt4 after structural relaxation.

The structure belongs to space group P-4m2 (No. 115); the cell edges are 4.262, 4.262 and 10.312 Å and the angles 90.00°, 90.00° and 90.00°. Symmetry generates all atoms from Tb at (0.000, 0.500, 0.250), Al at (0.000, 0.000, 0.500), Ge at (0.000, 0.500, 0.866), Ge at (0.500, 0.500, 0.500), Pt at (0.000, 0.000, 0.000), Pt at (0.000, 0.500, 0.631) and Pt at (0.500, 0.500, 0.000).

The formation energy comes out at -969 meV per atom.


Record 5
VASP calculation (GGA-PBE) on Ga2Sb2Pt after structural relaxation.

The structure belongs to space group P4/mbm (No. 127); the cell edges are 6.971, 6.971 and 5.033 Å and the angles 90.00°, 90.00° and 90.00°. Symmetry generates all atoms from Ga at (0.160, 0.340, 0.000), Sb at (0.150, 0.650, 0.500) and Pt at (0.000, 0.000, 0.500).

For the uncorrected formation energy, the calculation gives 0.01 eV per atom. As for the excess energy over the best structure of this formula in the dataset: 0.004 eV per atom.


Record 6
VASP calculation (GGA-PBE) on Na2MgBSe4 after structural relaxation.

The structure belongs to space group I-42m (No. 121); the cell edges are 7.286, 7.286 and 6.572 Å and the angles 90.00°, 90.00° and 90.00°. Symmetry generates all atoms from Na at (0.000, 0.500, 0.000), Mg at (0.000, 0.000, 0.000), B at (0.000, 0.000, 0.500) and Se at (0.162, 0.162, 0.307).

For the uncorrected formation energy, the calculation gives -0.66 eV per atom.


Record 7
VASP calculation (GGA-PBE) on Sb2As after structural relaxation.

The structure belongs to space group Fm-3m (No. 225); the cell edges are 6.980, 6.980 and 6.980 Å and the angles 90.00°, 90.00° and 90.00°. Symmetry generates all atoms from Sb at (0.250, 0.250, 0.250) and As at (0.000, 0.000, 0.000).

For the uncorrected formation energy, the calculation gives 0.35 eV per atom. As for the excess energy over the best structure of this formula in the dataset: 0.286 eV per atom.


Record 8
VASP calculation (GGA-PBE) on TbPmHoPu after structural relaxation.

The structure belongs to space group F-43m (No. 216); the cell edges are 7.957, 7.957 and 7.957 Å and the angles 90.00°, 90.00° and 90.00°. Symmetry generates all atoms from Tb at (0.000, 0.000, 0.000), Pm at (0.250, 0.250, 0.250), Ho at (0.000, 0.000, 0.500) and Pu at (0.250, 0.250, 0.750).

The formation energy comes out at 213 meV per atom.


Number 1: D(E_F) 38.86 states/eV/cell. Number 2: D(E_F) 9.82 states/eV/cell. Number 3: D(E_F) 0.00 states/eV/cell. Number 4: D(E_F) 5.82 states/eV/cell. Number 5: D(E_F) 3.43 states/eV/cell. Number 6: D(E_F) 14.46 states/eV/cell. Number 7: D(E_F) 5.07 states/eV/cell. Number 8: D(E_F) 48.02 states/eV/cell.